## one
Here is a relaxed structure of NdPuRu from Alexandria. Energies are from PBE.

Structure (CIF):
```
data_NdPuRu
_symmetry_space_group_name_H-M 'P 1'
_symmetry_Int_Tables_number 1
_cell_length_a 6.7422
_cell_length_b 6.7557
_cell_length_c 8.1904
_cell_angle_alpha 90.00
_cell_angle_beta 122.28
_cell_angle_gamma 90.00
loop_
_symmetry_equiv_pos_as_xyz
'x,y,z'
loop_
_atom_site_label
_atom_site_type_symbol
_atom_site_fract_x
_atom_site_fract_y
_atom_site_fract_z
Nd1 Nd 0.2026 0.1560 0.4198
Nd2 Nd 0.2026 0.3440 0.9198
Nd3 Nd 0.7974 0.6560 0.0802
Nd4 Nd 0.7974 0.8440 0.5802
Pu1 Pu 0.2988 0.6644 0.6006
Pu2 Pu 0.2988 0.8356 0.1006
Pu3 Pu 0.7012 0.1644 0.8994
Pu4 Pu 0.7012 0.3356 0.3994
Ru1 Ru 0.3180 0.5498 0.3050
Ru2 Ru 0.3180 0.9502 0.8050
Ru3 Ru 0.6820 0.0498 0.1950
Ru4 Ru 0.6820 0.4502 0.6950
```

Total magnetic moment ... 20.0 μB/cell
Space group ... P2_1/c

## two
Here is a relaxed structure of NdPuRu from Alexandria. Energies are from PBE.

Structure (CIF):
```
data_NdPuRu
_symmetry_space_group_name_H-M 'P 1'
_symmetry_Int_Tables_number 1
_cell_length_a 4.8253
_cell_length_b 4.8253
_cell_length_c 4.8253
_cell_angle_alpha 60.00
_cell_angle_beta 60.00
_cell_angle_gamma 60.00
loop_
_symmetry_equiv_pos_as_xyz
'x,y,z'
loop_
_atom_site_label
_atom_site_type_symbol
_atom_site_fract_x
_atom_site_fract_y
_atom_site_fract_z
Nd1 Nd 0.0000 0.0000 0.0000
Pu1 Pu 0.5000 0.5000 0.5000
Ru1 Ru 0.2500 0.2500 0.2500
```

Total magnetic moment ... 5.2 μB/cell
Space group ... F-43m

Stability, descending: one, two